{
  "formula": "NaY3Ho4Se8",
  "functional": "GGA-PBE",
  "state": "relaxed",
  "raw_formation_energy_mev_per_atom": -1731,
  "total_magnetization_mub_per_fu": 0.0,
  "final_energy_ev_per_fu": -94.60,
  "lattice_angstrom": [[-7.577, 0.160, -3.021], [2.670, -3.479, -6.879], [1.447, -3.557, 7.199]],
  "species": ["Se", "Se", "Se", "Se", "Se", "Se", "Se", "Se", "Y", "Y", "Y", "Ho", "Ho", "Ho", "Ho", "Na"],
  "fractional_positions": [[0.750, 0.248, 0.998], [0.752, 0.752, 0.002], [0.250, 0.752, 0.002], [0.249, 0.247, 0.498], [0.248, 0.248, 0.998], [0.750, 0.248, 0.499], [0.250, 0.752, 0.501], [0.751, 0.753, 0.502], [0.000, 0.500, 0.500], [0.500, 0.500, 0.000], [0.500, 0.500, 0.500], [0.000, 0.000, 0.000], [0.500, 0.000, 0.500], [0.500, 0.000, 0.000], [0.000, 0.000, 0.500], [0.000, 0.500, 0.000]]
}

---

{
  "formula": "AlS2I",
  "functional": "GGA-PBE",
  "state": "relaxed",
  "e_above_lowest_polymorph_ev_per_fu": 0.00,
  "raw_formation_energy_mev_per_atom": -499,
  "total_magnetization_mub_per_fu": 0.0,
  "final_energy_ev_per_fu": -15.55,
  "lattice_angstrom": [[-1.085, 7.669, 2.239], [2.449, 7.607, 1.068], [-0.324, 7.934, -1.397]],
  "species": ["Al", "S", "S", "I"],
  "fractional_positions": [[0.500, 0.500, 0.500], [0.886, 0.886, 0.886], [0.114, 0.114, 0.114], [0.000, 0.000, 0.000]]
}

---

{
  "formula": "SmYTm5",
  "functional": "GGA-PBE",
  "state": "relaxed",
  "e_above_lowest_polymorph_ev_per_fu": 5.76,
  "total_magnetization_mub_per_fu": 0.0,
  "e_form_ev_per_atom": 1.019,
  "final_energy_ev_per_fu": -26.41,
  "lattice_angstrom": [[-2.140, -3.959, -4.176], [3.011, -6.044, 4.187], [-5.420, 4.570, 2.958]],
  "species": ["Tm", "Tm", "Tm", "Tm", "Tm", "Sm", "Y"],
  "fractional_positions": [[0.434, 0.180, 0.000], [0.172, 0.500, 0.000], [0.670, 0.742, 0.485], [0.434, 0.820, 0.000], [0.185, 0.258, 0.515], [0.698, 0.500, 0.000], [0.937, 0.000, 0.000]]
}

---

{
  "formula": "PmPr5Y2Ho",
  "functional": "GGA-PBE",
  "state": "relaxed",
  "total_magnetization_mub_per_fu": 0.0,
  "e_form_ev_per_atom": 0.302,
  "final_energy_ev_per_fu": -43.44,
  "lattice_angstrom": [[9.528, 0.000, 0.000], [0.000, 9.528, 0.000], [-4.764, -4.764, 7.080]],
  "species": ["Y", "Y", "Y", "Y", "Ho", "Ho", "Pr", "Pr", "Pr", "Pr", "Pr", "Pr", "Pr", "Pr", "Pr", "Pr", "Pm", "Pm"],
  "fractional_positions": [[0.892, 0.608, 0.000], [0.608, 0.108, 0.000], [0.392, 0.892, 0.000], [0.108, 0.392, 0.000], [0.750, 0.250, 0.500], [0.250, 0.750, 0.500], [0.164, 0.069, 0.733], [0.931, 0.431, 0.267], [0.500, 0.500, 0.000], [0.000, 0.000, 0.000], [0.569, 0.664, 0.733], [0.336, 0.836, 0.267], [0.431, 0.336, 0.267], [0.664, 0.164, 0.733], [0.069, 0.569, 0.733], [0.836, 0.931, 0.267], [0.250, 0.250, 0.500], [0.750, 0.750, 0.500]]
}